{"formula": "CeMg2SiAu4", "functional": "PBE", "state": "optimized geometry", "lattice_angstrom": [[2.231, 1.288, 9.392], [-2.231, 1.288, 9.392], [0.000, -2.577, 9.392]], "species": ["Ce", "Mg", "Mg", "Si", "Au", "Au", "Au", "Au"], "fractional_positions": [[0.000, 0.000, 0.000], [0.239, 0.239, 0.239], [0.761, 0.761, 0.761], [0.500, 0.500, 0.500], [0.131, 0.131, 0.131], [0.395, 0.395, 0.395], [0.605, 0.605, 0.605], [0.869, 0.869, 0.869]], "final_energy_ev_per_atom": -3.8858, "raw_formation_energy_mev_per_atom": -429}